(1)
CeGd2Sc: relaxed, GGA-PBE.

Its crystal system is tetragonal. As for the formation energy: 89 meV per atom. The value obtained for the polymorph energy (0 for the lowest one) is 1 meV/atom.

The structure belongs to space group P4/mmm (No. 123); the cell edges are 3.481, 3.481 and 9.733 Å and the angles 90.00°, 90.00° and 90.00°. The inequivalent atoms are Ce at (0.000, 0.000, 0.000), Gd at (0.500, 0.500, 0.256) and Sc at (0.000, 0.000, 0.500).

---

(2)
Ce2GdSc: relaxed, GGA-PBE.

Its crystal system is trigonal. As for the formation energy: 89 meV per atom. The value obtained for the polymorph energy (0 for the lowest one) is 0 meV/atom.

The structure belongs to space group R-3m (No. 166, hexagonal axes); the cell edges are 3.4140, 3.4140 and 33.4618 Å and the angles 90.00°, 90.00° and 120.00°. The inequivalent atoms are Ce at (0.0000, 0.0000, 0.2473), Gd at (0.0000, 0.0000, 0.0000) and Sc at (0.0000, 0.0000, 0.5000).

---

(3)
CeGd2Sc: relaxed, GGA-PBE.

Its crystal system is tetragonal. As for the formation energy: 88 meV per atom. The value obtained for the polymorph energy (0 for the lowest one) is 0 meV/atom.

The structure belongs to space group P4/mmm (No. 123); the cell edges are 4.918, 4.918 and 4.902 Å and the angles 90.00°, 90.00° and 90.00°. The inequivalent atoms are Ce at (0.000, 0.000, 0.000), Gd at (0.000, 0.500, 0.500) and Sc at (0.500, 0.500, 0.000).

---

(4)
CeGdSc2: relaxed, GGA-PBE.

Its crystal system is tetragonal. As for the formation energy: 98 meV per atom. The value obtained for the polymorph energy (0 for the lowest one) is 4 meV/atom.

The structure belongs to space group P4/mmm (No. 123); the cell edges are 5.468, 5.468 and 3.732 Å and the angles 90.00°, 90.00° and 90.00°. The inequivalent atoms are Ce at (0.000, 0.000, 0.000), Gd at (0.500, 0.500, 0.000) and Sc at (0.000, 0.500, 0.500).

---

(5)
Ce2GdSc: relaxed, GGA-PBE.

Its crystal system is cubic. As for the formation energy: 210 meV per atom. The value obtained for the polymorph energy (0 for the lowest one) is 121 meV/atom.

The structure belongs to space group Fm-3m (No. 225); the cell edges are 7.780, 7.780 and 7.780 Å and the angles 90.00°, 90.00° and 90.00°. The inequivalent atoms are Ce at (0.250, 0.250, 0.250), Gd at (0.000, 0.000, 0.000) and Sc at (0.000, 0.000, 0.500).

---

(6)
CeGdSc: relaxed, GGA-PBE.

Its crystal system is tetragonal. As for the formation energy: 84 meV per atom. The value obtained for the polymorph energy (0 for the lowest one) is 8 meV/atom.

The structure belongs to space group I4mm (No. 107); the cell edges are 3.450, 3.450 and 14.263 Å and the angles 90.00°, 90.00° and 90.00°. The inequivalent atoms are Ce at (0.000, 0.000, 0.000), Gd at (0.000, 0.000, 0.331) and Sc at (0.000, 0.000, 0.656).

---

(7)
CeGdSc2: relaxed, GGA-PBE.

Its crystal system is cubic. As for the formation energy: 95 meV per atom. The value obtained for the polymorph energy (0 for the lowest one) is 0 meV/atom.

The structure belongs to space group Fm-3m (No. 225); the cell edges are 7.640, 7.640 and 7.640 Å and the angles 90.00°, 90.00° and 90.00°. The inequivalent atoms are Ce at (0.000, 0.000, 0.000), Gd at (0.000, 0.000, 0.500) and Sc at (0.250, 0.250, 0.250).

---

(8)
Ce2GdSc: relaxed, GGA-PBE.

Its crystal system is tetragonal. As for the formation energy: 104 meV per atom. The value obtained for the polymorph energy (0 for the lowest one) is 15 meV/atom.

The structure belongs to space group P4/mmm (No. 123); the cell edges are 3.405, 3.405 and 9.826 Å and the angles 90.00°, 90.00° and 90.00°. The inequivalent atoms are Ce at (0.000, 0.000, 0.241), Gd at (0.500, 0.500, 0.500) and Sc at (0.500, 0.500, 0.000).

---

(9)
Ce2GdSc: relaxed, GGA-PBE.

Its crystal system is tetragonal. As for the formation energy: 109 meV per atom. The value obtained for the polymorph energy (0 for the lowest one) is 20 meV/atom.

The structure belongs to space group P4/mmm (No. 123); the cell edges are 4.792, 4.792 and 4.953 Å and the angles 90.00°, 90.00° and 90.00°. The inequivalent atoms are Ce at (0.000, 0.500, 0.000), Gd at (0.000, 0.000, 0.500) and Sc at (0.500, 0.500, 0.500).

---

(10)
CeGd2Sc: relaxed, GGA-PBE.

Its crystal system is cubic. As for the formation energy: 147 meV per atom. The value obtained for the polymorph energy (0 for the lowest one) is 59 meV/atom.

The structure belongs to space group Fm-3m (No. 225); the cell edges are 7.855, 7.855 and 7.855 Å and the angles 90.00°, 90.00° and 90.00°. The inequivalent atoms are Ce at (0.000, 0.000, 0.000), Gd at (0.250, 0.250, 0.250) and Sc at (0.000, 0.000, 0.500).

---

(11)
CeGdScTi: relaxed, GGA-PBE.

Its crystal system is cubic. As for the formation energy: 210 meV per atom.

The structure belongs to space group F-43m (No. 216); the cell edges are 7.427, 7.427 and 7.427 Å and the angles 90.00°, 90.00° and 90.00°. The inequivalent atoms are Ce at (0.000, 0.000, 0.000), Gd at (0.000, 0.000, 0.500), Sc at (0.250, 0.250, 0.250) and Ti at (0.250, 0.250, 0.750).

---

(12)
CeGdScTl: relaxed, GGA-PBE.

Its crystal system is cubic. As for the formation energy: -36 meV per atom.

The structure belongs to space group F-43m (No. 216); the cell edges are 7.671, 7.671 and 7.671 Å and the angles 90.00°, 90.00° and 90.00°. The inequivalent atoms are Ce at (0.000, 0.000, 0.000), Gd at (0.000, 0.000, 0.500), Sc at (0.250, 0.250, 0.750) and Tl at (0.250, 0.250, 0.250).

---

(13)
CeGdScZn: relaxed, GGA-PBE.

Its crystal system is cubic. As for the formation energy: 10 meV per atom.

The structure belongs to space group F-43m (No. 216); the cell edges are 7.407, 7.407 and 7.407 Å and the angles 90.00°, 90.00° and 90.00°. The inequivalent atoms are Ce at (0.000, 0.000, 0.000), Gd at (0.000, 0.000, 0.500), Sc at (0.250, 0.250, 0.250) and Zn at (0.250, 0.250, 0.750).

---

(14)
CeGdSe2: relaxed, GGA-PBE.

Its crystal system is trigonal. The calculation puts the energy relative to the elements, uncorrected at -1839 meV/atom.

The structure belongs to space group R-3m (No. 166, hexagonal axes); the cell edges are 4.1554, 4.1554 and 20.5379 Å and the angles 90.00°, 90.00° and 120.00°. The inequivalent atoms are Ce at (0.0000, 0.0000, 0.0000), Gd at (0.0000, 0.0000, 0.5000) and Se at (0.0000, 0.0000, 0.2475).

---

(15)
CeSmGd: relaxed, GGA-PBE.

Its crystal system is trigonal. As for the formation energy: 68 meV per atom.

The structure belongs to space group P3m1 (No. 156); the cell edges are 3.5474, 3.5474 and 8.6880 Å and the angles 90.00°, 90.00° and 120.00°. The inequivalent atoms are Ce at (0.0000, 0.0000, 0.0000), Sm at (0.6667, 0.3333, 0.3272) and Gd at (0.3333, 0.6667, 0.6780).

---

(16)
CeSm2Gd: relaxed, GGA-PBE.

Its crystal system is tetragonal. As for the formation energy: 76 meV per atom. The value obtained for the polymorph energy (0 for the lowest one) is 0 meV/atom.

The structure belongs to space group P4/mmm (No. 123); the cell edges are 5.070, 5.070 and 5.074 Å and the angles 90.00°, 90.00° and 90.00°. The inequivalent atoms are Ce at (0.000, 0.000, 0.000), Sm at (0.000, 0.500, 0.500) and Gd at (0.500, 0.500, 0.000).

---

(17)
CeSm2Gd: relaxed, GGA-PBE.

Its crystal system is cubic. As for the formation energy: 174 meV per atom. The value obtained for the polymorph energy (0 for the lowest one) is 98 meV/atom.

The structure belongs to space group Fm-3m (No. 225); the cell edges are 8.105, 8.105 and 8.105 Å and the angles 90.00°, 90.00° and 90.00°. The inequivalent atoms are Ce at (0.000, 0.000, 0.000), Sm at (0.250, 0.250, 0.250) and Gd at (0.000, 0.000, 0.500).

---

(18)
CeSmGd: relaxed, GGA-PBE.

Its crystal system is tetragonal. As for the formation energy: 67 meV per atom.

The structure belongs to space group I4mm (No. 107); the cell edges are 3.550, 3.550 and 15.025 Å and the angles 90.00°, 90.00° and 90.00°. The inequivalent atoms are Ce at (0.000, 0.000, 0.000), Sm at (0.000, 0.000, 0.338) and Gd at (0.000, 0.000, 0.658).

---

(19)
TbCeSmGd: relaxed, GGA-PBE.

Its crystal system is cubic. As for the formation energy: 175 meV per atom.

The structure belongs to space group F-43m (No. 216); the cell edges are 8.071, 8.071 and 8.071 Å and the angles 90.00°, 90.00° and 90.00°. The inequivalent atoms are Tb at (0.000, 0.000, 0.000), Ce at (0.000, 0.000, 0.500), Sm at (0.250, 0.250, 0.250) and Gd at (0.250, 0.250, 0.750).

---

(20)
CeSmGdTl: relaxed, GGA-PBE.

Its crystal system is cubic. As for the formation energy: -1 meV per atom.

The structure belongs to space group F-43m (No. 216); the cell edges are 7.734, 7.734 and 7.734 Å and the angles 90.00°, 90.00° and 90.00°. The inequivalent atoms are Ce at (0.000, 0.000, 0.000), Sm at (0.250, 0.250, 0.750), Gd at (0.250, 0.250, 0.250) and Tl at (0.000, 0.000, 0.500).

---

(21)
CeSmGdZr: relaxed, GGA-PBE.

Its crystal system is cubic. As for the formation energy: 244 meV per atom.

The structure belongs to space group F-43m (No. 216); the cell edges are 7.805, 7.805 and 7.805 Å and the angles 90.00°, 90.00° and 90.00°. The inequivalent atoms are Ce at (0.000, 0.000, 0.000), Sm at (0.250, 0.250, 0.250), Gd at (0.000, 0.000, 0.500) and Zr at (0.250, 0.250, 0.750).

---

(22)
CeGdSn: relaxed, GGA-PBE.

Its crystal system is hexagonal. As for the formation energy: -232 meV per atom. The value obtained for the polymorph energy (0 for the lowest one) is 192 meV/atom.

The structure belongs to space group P-6m2 (No. 187); the cell edges are 5.2934, 5.2934 and 3.2925 Å and the angles 90.00°, 90.00° and 120.00°. The inequivalent atoms are Ce at (0.0000, 0.0000, 0.0000), Gd at (0.6667, 0.3333, 0.0000) and Sn at (0.3333, 0.6667, 0.5000).

---

(23)
CeGdSn: relaxed, GGA-PBE.

Its crystal system is tetragonal. As for the formation energy: -424 meV per atom. The value obtained for the polymorph energy (0 for the lowest one) is 0 meV/atom.

The structure belongs to space group I4mm (No. 107); the cell edges are 4.141, 4.141 and 10.010 Å and the angles 90.00°, 90.00° and 90.00°. The inequivalent atoms are Ce at (0.000, 0.000, 0.000), Gd at (0.000, 0.000, 0.696) and Sn at (0.000, 0.000, 0.344).

---

(24)
CeGdTlSn: relaxed, GGA-PBE.

Its crystal system is cubic. As for the formation energy: -446 meV per atom.

The structure belongs to space group F-43m (No. 216); the cell edges are 7.696, 7.696 and 7.696 Å and the angles 90.00°, 90.00° and 90.00°. The inequivalent atoms are Ce at (0.000, 0.000, 0.000), Gd at (0.000, 0.000, 0.500), Tl at (0.250, 0.250, 0.250) and Sn at (0.250, 0.250, 0.750).

---

(25)
SrCeGd2: relaxed, GGA-PBE.

Its crystal system is trigonal. As for the formation energy: 759 meV per atom. The value obtained for the polymorph energy (0 for the lowest one) is 626 meV/atom.

The structure belongs to space group R-3m (No. 166, hexagonal axes); the cell edges are 4.1498, 4.1498 and 31.2394 Å and the angles 90.00°, 90.00° and 120.00°. The inequivalent atoms are Sr at (0.0000, 0.0000, 0.0000), Ce at (0.0000, 0.0000, 0.5000) and Gd at (0.0000, 0.0000, 0.1161).

---

(26)
SrCe2Gd: relaxed, GGA-PBE.

Its crystal system is trigonal. As for the formation energy: 331 meV per atom.

The structure belongs to space group R-3m (No. 166, hexagonal axes); the cell edges are 3.5268, 3.5268 and 38.4417 Å and the angles 90.00°, 90.00° and 120.00°. The inequivalent atoms are Sr at (0.0000, 0.0000, 0.0000), Ce at (0.0000, 0.0000, 0.0911) and Gd at (0.0000, 0.0000, 0.5000).

---

(27)
SrCeGd2: relaxed, GGA-PBE.

Its crystal system is tetragonal. As for the formation energy: 133 meV per atom. The value obtained for the polymorph energy (0 for the lowest one) is 0 meV/atom.

The structure belongs to space group P4/mmm (No. 123); the cell edges are 3.660, 3.660 and 10.623 Å and the angles 90.00°, 90.00° and 90.00°. The inequivalent atoms are Sr at (0.000, 0.000, 0.000), Ce at (0.000, 0.000, 0.500) and Gd at (0.500, 0.500, 0.286).

---

(28)
TbCeGdTl: relaxed, GGA-PBE.

Its crystal system is cubic. As for the formation energy: 3 meV per atom.

The structure belongs to space group F-43m (No. 216); the cell edges are 7.726, 7.726 and 7.726 Å and the angles 90.00°, 90.00° and 90.00°. The inequivalent atoms are Tb at (0.000, 0.000, 0.000), Ce at (0.250, 0.250, 0.250), Gd at (0.000, 0.000, 0.500) and Tl at (0.250, 0.250, 0.750).

---

(29)
TbCeGdTm: relaxed, GGA-PBE.

Its crystal system is cubic. As for the formation energy: 165 meV per atom.

The structure belongs to space group F-43m (No. 216); the cell edges are 7.995, 7.995 and 7.995 Å and the angles 90.00°, 90.00° and 90.00°. The inequivalent atoms are Tb at (0.000, 0.000, 0.000), Ce at (0.250, 0.250, 0.750), Gd at (0.000, 0.000, 0.500) and Tm at (0.250, 0.250, 0.250).

---

(30)
TbCeGdZn: relaxed, GGA-PBE.

Its crystal system is cubic. As for the formation energy: 97 meV per atom.

The structure belongs to space group F-43m (No. 216); the cell edges are 7.487, 7.487 and 7.487 Å and the angles 90.00°, 90.00° and 90.00°. The inequivalent atoms are Tb at (0.000, 0.000, 0.000), Ce at (0.250, 0.250, 0.750), Gd at (0.000, 0.000, 0.500) and Zn at (0.250, 0.250, 0.250).

---

(31)
TbCeGdZr: relaxed, GGA-PBE.

Its crystal system is cubic. As for the formation energy: 227 meV per atom.

The structure belongs to space group F-43m (No. 216); the cell edges are 7.759, 7.759 and 7.759 Å and the angles 90.00°, 90.00° and 90.00°. The inequivalent atoms are Tb at (0.000, 0.000, 0.000), Ce at (0.250, 0.250, 0.750), Gd at (0.250, 0.250, 0.250) and Zr at (0.000, 0.000, 0.500).